Entry 1:
Density functional theory data (PBE-GGA) for a relaxed HfAu3N crystal.

Values from the calculation:
V	87.7	Å³/cell
E_form (uncorrected)	0.734	eV per atom
SG	No. 221

Geometry as POSCAR:
```
HfAu3N
1.0
4.443 0.000 0.000
0.000 4.443 0.000
0.000 0.000 4.443
Hf Au N
1 3 1
direct
0.000 0.000 0.000
0.000 0.500 0.500
0.500 0.000 0.500
0.500 0.500 0.000
0.500 0.500 0.500
```

Entry 2:
Density functional theory data (PBE-GGA) for a relaxed NaOsBr2 crystal.

Values from the calculation:
V	224.9	Å³/cell
E_form (uncorrected)	0.370	eV per atom
SG	No. 122

Geometry as POSCAR:
```
NaOsBr2
1.0
-2.856 2.856 6.892
2.856 -2.856 6.892
2.856 2.856 -6.892
Na Os Br
2 2 4
direct
0.000 0.000 0.000
0.750 0.250 0.500
0.250 0.750 0.500
0.500 0.500 0.000
0.189 0.625 0.064
0.375 0.439 0.564
0.561 0.125 0.936
0.875 0.811 0.436
```

| no. | VASP energy (eV per atom) |
| --- | --- |
| 1 | -4.888 |
| 2 | -3.603 |